VASP calculation (PBE-GGA) on a geometry-optimized Sr2CoGeN structure.

abc: 5.5005 5.5005 3.5355
angles: 90.00 90.00 90.00
With the nearest neighbours (Å) after each atom.
Element x y z (fractional)
Sr  0.5000  0.0000  0.0000  2 N 2.75
Sr  0.0000  0.5000  0.0000  2 N 2.75
Co  0.0000  0.0000  0.5000  2 N 1.77
N  0.0000  0.0000  0.0000  2 Co 1.77
Ge  0.5000  0.5000  0.5000  8 Sr 3.27, 2 Ge 3.54

Results
energy relative to the elements, uncorrected: -431 meV/atom
V: 106.97 Å³/f.u.
E: -0.1879 hartree per atom


VASP calculation (PBE-GGA) on a geometry-optimized Zr2IrW structure.

abc: 4.6616 2.9621 5.3899
angles: 78.60 90.00 90.00
With the nearest neighbours (Å) after each atom.
Element x y z (fractional)
Zr  0.5000  0.2575  0.2582  2 W 2.80-2.81, 2 Ir 2.84, 4 Zr 2.94-2.96
Ir  0.0000  0.5140  0.4982  4 Zr 2.80-2.84, 2 W 2.85, 2 Ir 2.96
Zr  0.0000  0.9875  0.9900  2 Ir 2.80-2.82, 2 W 2.82, 4 Zr 2.94-2.96
W  0.5000  0.7410  0.7535  4 Zr 2.80-2.82, 2 Ir 2.85, 2 W 2.96

Results
V: 72.96 Å³/f.u.
E: -0.3632 hartree per atom
formation enthalpy at 0 K: -0.62 eV per formula unit


VASP calculation (PBE-GGA) on a geometry-optimized Y3Hg structure.

abc: 4.8254 4.8254 4.8254
angles: 90.00 90.00 90.00
With the nearest neighbours (Å) after each atom.
Element x y z (fractional)
Y  0.5000  0.5000  0.0000  4 Hg 3.41, 8 Y 3.41
Y  0.0000  0.5000  0.5000  4 Hg 3.41, 8 Y 3.41
Hg  0.0000  0.0000  0.0000  12 Y 3.41
Y  0.5000  0.0000  0.5000  4 Hg 3.41, 8 Y 3.41

Results
V: 112.36 Å³/f.u.
E: -0.1871 hartree per atom
formation enthalpy at 0 K: -0.67 eV per formula unit


VASP calculation (PBE-GGA) on a geometry-optimized TmThCoBr structure.

abc: 3.9560 3.9554 8.0772
angles: 90.01 104.17 120.00
With the nearest neighbours (Å) after each atom.
Element x y z (fractional)
Th  0.0855  0.9407  0.0415  3 Co 2.64
Tm  0.5119  0.1538  0.6811  3 Co 2.72
Co  0.3057  0.5507  0.8718  3 Th 2.64, 3 Tm 2.72
Br  0.9748  0.3856  0.3753  3 Tm 3.29, 3 Th 3.45

Results
energy relative to the elements, uncorrected: -722 meV/atom
V: 104.99 Å³/f.u.
E: -0.2165 hartree per atom


VASP calculation (PBE-GGA) on a geometry-optimized VCdAu2 structure.

abc: 3.5595 4.5340 4.5340
angles: 90.00 90.00 90.00
With the nearest neighbours (Å) after each atom.
Element x y z (fractional)
Cd  0.5000  0.5000  0.5000  8 Au 2.88, 4 V 3.21
Au  0.0000  0.5000  0.0000  4 Cd 2.88, 4 V 2.88, 4 Au 3.21
V  0.5000  0.0000  0.0000  8 Au 2.88, 4 Cd 3.21
Au  0.0000  0.0000  0.5000  4 Cd 2.88, 4 V 2.88, 4 Au 3.21

Results
V: 73.17 Å³/f.u.
E: -0.1511 hartree per atom
formation enthalpy at 0 K: 0.14 eV per formula unit


VASP calculation (PBE-GGA) on a geometry-optimized SmMgFeC structure.

abc: 3.6093 3.6093 10.6208
angles: 90.00 90.00 90.00
With the nearest neighbours (Å) after each atom.
Element x y z (fractional)
Sm  0.2500  0.2500  0.7899  4 Fe 2.87, 5 C 2.90-3.08
Sm  0.7500  0.7500  0.2101  4 Fe 2.87, 5 C 2.90-3.08
C  0.7500  0.7500  0.9197  4 Fe 2.00
Mg  0.2500  0.7500  0.5000  4 Mg 2.55
Fe  0.2500  0.7500  0.0000  4 C 2.00
Mg  0.7500  0.2500  0.5000  4 Mg 2.55
C  0.2500  0.2500  0.0803  4 Fe 2.00
Fe  0.7500  0.2500  0.0000  4 C 2.00

Results
V: 69.18 Å³/f.u.
E: -0.2184 hartree per atom
formation enthalpy at 0 K: 0.23 eV per formula unit


VASP calculation (PBE-GGA) on a geometry-optimized CaBeGe structure.

abc: 3.9553 3.9553 4.3463
angles: 90.00 90.00 120.00
With the nearest neighbours (Å) after each atom.
Element x y z (fractional)
Ca  0.3333  0.6667  0.0000  6 Be 3.15, 6 Ge 3.15
Be  0.0000  0.0000  0.5000  3 Ge 2.28
Ge  0.6667  0.3333  0.5000  3 Be 2.28

Results
V: 58.88 Å³/f.u.
E: -0.1415 hartree per atom
formation enthalpy at 0 K: -1.21 eV per formula unit


VASP calculation (PBE-GGA) on a geometry-optimized MgOsS3 structure.

abc: 4.6554 4.6554 4.6554
angles: 90.00 90.00 90.00
With the nearest neighbours (Å) after each atom.
Element x y z (fractional)
S  0.0000  0.0000  0.5000  2 Os 2.33
S  0.0000  0.5000  0.0000  2 Os 2.33
Mg  0.5000  0.5000  0.5000  12 S 3.29
Os  0.0000  0.0000  0.0000  6 S 2.33
S  0.5000  0.0000  0.0000  2 Os 2.33

Results
energy relative to the elements, uncorrected: 240 meV/atom
energy relative to the lowest polymorph listed for this composition: 0.00 eV per formula unit
V: 100.90 Å³/f.u.
E: -0.1764 hartree per atom